(1)
Density functional theory data (PBE-GGA) for an optimized crystal structure of Ac6SiP2Br3.

Calculated values
Spin magnetization, μB/atom: 0.00
Fermi-level density of states, states/eV per cell: 5.8
Space group: C2/m
Total DFT energy (no corrections), eV/atom: -5.15

a = 4.4649 Å, b = 9.2220 Å, c = 10.2397 Å
α = 105.33°, β = 102.59°, γ = 90.00°
With the nearest neighbours (Å) after each atom.
Positions (direct):
1 Ac 0.3410 0.8922 0.6820  2 P 3.03, 1 Si 3.06
2 Ac 0.6755 0.5596 0.3511  3 P 3.01-3.02
3 Ac 0.6590 0.1078 0.3180  2 P 3.03, 1 Si 3.06
4 Ac 0.0105 0.2317 0.0209  1 P 3.04, 2 Si 3.06, 3 Br 3.38-3.39
5 Ac 0.9895 0.7683 0.9791  1 P 3.04, 2 Si 3.06, 3 Br 3.38-3.39
6 Ac 0.3245 0.4404 0.6489  3 P 3.01-3.02
7 Si 0.5000 0.0000 0.0000  6 Ac 3.06
8 P 0.8317 0.6648 0.6634  6 Ac 3.01-3.04
9 P 0.1683 0.3352 0.3366  6 Ac 3.01-3.04
10 Br 0.5000 0.5000 0.0000  6 Ac 3.38-3.40
11 Br 0.8351 0.1690 0.6703  6 Ac 3.39-3.42
12 Br 0.1649 0.8310 0.3297  6 Ac 3.39-3.42

(2)
Density functional theory data (PBE-GGA) for an optimized crystal structure of Pr3DyHo2Er6.

Calculated values
Spin magnetization, μB/atom: 0.00
Fermi-level density of states, states/eV per cell: 15.6
Space group: C2/m
Calculated formation energy, kJ per mole of atoms: 2.2

a = 6.1820 Å, b = 6.1820 Å, c = 11.7539 Å
α = 95.02°, β = 95.02°, γ = 119.97°
With the nearest neighbours (Å) after each atom.
Positions (direct):
1 Pr 0.1667 0.8333 0.5000  6 Pr 3.57, 6 Er 3.60
2 Pr 0.8333 0.1667 0.5000  6 Pr 3.57, 6 Er 3.60
3 Pr 0.5000 0.5000 0.5000  6 Pr 3.57, 6 Er 3.60
4 Dy 0.0000 0.0000 0.0000  6 Er 3.51, 6 Ho 3.57
5 Ho 0.3333 0.6667 0.0000  6 Er 3.51, 3 Ho 3.57, 3 Dy 3.57
6 Ho 0.6667 0.3333 0.0000  6 Er 3.51, 3 Ho 3.57, 3 Dy 3.57
7 Er 0.9181 0.5847 0.7548  2 Ho 3.51, 1 Dy 3.51, 6 Er 3.57, 3 Pr 3.60
8 Er 0.7485 0.7485 0.2453  1 Dy 3.51, 2 Ho 3.51, 6 Er 3.57, 3 Pr 3.60
9 Er 0.0819 0.4153 0.2452  2 Ho 3.51, 1 Dy 3.51, 6 Er 3.57, 3 Pr 3.60
10 Er 0.5847 0.9181 0.7548  2 Ho 3.51, 1 Dy 3.51, 6 Er 3.57, 3 Pr 3.60
11 Er 0.2515 0.2515 0.7547  1 Dy 3.51, 2 Ho 3.51, 6 Er 3.57, 3 Pr 3.60
12 Er 0.4153 0.0819 0.2452  2 Ho 3.51, 1 Dy 3.51, 6 Er 3.57, 3 Pr 3.60

(3)
Density functional theory data (PBE-GGA) for an optimized crystal structure of LiPrSmDy.

Calculated values
Spin magnetization, μB/atom: 0.00
Fermi-level density of states, states/eV per cell: 4.6
Space group: F-43m
Calculated formation energy, kJ per mole of atoms: 15.8

a = 5.5864 Å, b = 5.5864 Å, c = 5.5864 Å
α = 60.00°, β = 60.00°, γ = 60.00°
With the nearest neighbours (Å) after each atom.
Positions (direct):
1 Pr 0.2500 0.2500 0.2500  4 Dy 3.42, 4 Li 3.42
2 Li 0.0000 0.0000 0.0000  4 Pr 3.42, 4 Sm 3.42
3 Sm 0.7500 0.7500 0.7500  4 Dy 3.42, 4 Li 3.42
4 Dy 0.5000 0.5000 0.5000  4 Sm 3.42, 4 Pr 3.42

(4)
Density functional theory data (PBE-GGA) for an optimized crystal structure of NiTeI2Cl.

Calculated values
Spin magnetization, μB/atom: 0.00
Energy relative to the lowest polymorph listed for this composition, kJ per mole of atoms: 0.0
Fermi-level density of states, states/eV per cell: 6.4
Space group: P4/mmm

a = 5.2640 Å, b = 5.2640 Å, c = 5.0276 Å
α = 90.00°, β = 90.00°, γ = 90.00°
With the nearest neighbours (Å) after each atom.
Positions (direct):
1 I 0.0000 0.5000 0.0000  2 Ni 2.63
2 I 0.5000 0.0000 0.0000  2 Ni 2.63
3 Ni 0.0000 0.0000 0.0000  2 Te 2.51, 4 I 2.63
4 Te 0.0000 0.0000 0.5000  2 Ni 2.51
5 Cl 0.5000 0.5000 0.5000  8 I 3.64, 4 Te 3.72

(5)
Density functional theory data (PBE-GGA) for an optimized crystal structure of Np2Te2AuN2.

Calculated values
Spin magnetization, μB/atom: 0.61
Fermi-level density of states, states/eV per cell: 14.0
Space group: P-3m1
Total DFT energy (no corrections), eV/atom: -7.89

a = 3.7169 Å, b = 3.7169 Å, c = 13.5035 Å
α = 90.00°, β = 90.00°, γ = 120.00°
With the nearest neighbours (Å) after each atom.
Positions (direct):
1 Np 0.6667 0.3333 0.1825  3 N 2.16
2 Np 0.3333 0.6667 0.8175  3 N 2.16
3 Te 0.0000 0.0000 0.3530  3 Np 3.15, 3 N 3.33
4 Te 0.0000 0.0000 0.6470  3 Np 3.15, 3 N 3.33
5 Au 0.0000 0.0000 0.0000  6 N 3.09, 6 Np 3.27
6 N 0.6667 0.3333 0.8358  3 Np 2.16
7 N 0.3333 0.6667 0.1642  3 Np 2.16

(6)
Density functional theory data (PBE-GGA) for an optimized crystal structure of Li3CuPt2.

Calculated values
Spin magnetization, μB/atom: 0.00
Fermi-level density of states, states/eV per cell: 1.9
Space group: Cmmm
Calculated formation energy, kJ per mole of atoms: -40.3

a = 2.9000 Å, b = 4.2427 Å, c = 7.0044 Å
α = 107.63°, β = 90.00°, γ = 90.00°
With the nearest neighbours (Å) after each atom.
Positions (direct):
1 Li 0.0000 0.6787 0.3574  6 Pt 2.59-2.64, 4 Li 2.79-2.85
2 Li 0.0000 0.3213 0.6426  6 Pt 2.59-2.64, 4 Li 2.79-2.85
3 Li 0.5000 0.5000 0.0000  4 Cu 2.57, 4 Li 2.79
4 Cu 0.0000 0.0000 0.0000  4 Pt 2.54, 4 Li 2.57
5 Pt 0.5000 0.8436 0.6872  2 Cu 2.54, 6 Li 2.59-2.64
6 Pt 0.5000 0.1564 0.3128  2 Cu 2.54, 6 Li 2.59-2.64

> Which of these has the lowest Fermi-level density of states?

Li3CuPt2

> Look up the Fermi-level density of states of the fifth one.

14.0 states/eV per cell

> Look up the Fermi-level density of states of the sixth one.

1.9 states/eV per cell

> Fermi-level density of states of number 3 (LiPrSmDy)?

4.6 states/eV per cell